# 1
This record from the Alexandria database describes Tl3MoP after structural relaxation. The functional is GGA-PBE.

It has space group Pm-3m (No. 221), with a = 5.424 Å, b = 5.424 Å, c = 5.424 Å, α = 90.00°, β = 90.00° and γ = 90.00°. The distinct sites, in fractional coordinates, are Tl at (0.000, 0.000, 0.500), Mo at (0.000, 0.000, 0.000) and P at (0.500, 0.500, 0.500).

The value obtained for the density of states at the Fermi level is 2.727 states/eV per cell. As for the polymorph energy (0 for the lowest one): 0.000 eV/atom.


# 2
This record from the Alexandria database describes TlMo2P after structural relaxation. The functional is GGA-PBE.

It has space group I-4m2 (No. 119), with a = 3.962 Å, b = 3.962 Å, c = 8.611 Å, α = 90.00°, β = 90.00° and γ = 90.00°. The distinct sites, in fractional coordinates, are Tl at (0.000, 0.000, 0.000), Mo at (0.000, 0.000, 0.500), Mo at (0.000, 0.500, 0.750) and P at (0.000, 0.500, 0.250).

The value obtained for the density of states at the Fermi level is 8.198 states/eV per cell. As for the polymorph energy (0 for the lowest one): 0.618 eV/atom.


# 3
This record from the Alexandria database describes Tl2MoP after structural relaxation. The functional is GGA-PBE.

It has space group R3m (No. 160, hexagonal axes), with a = 3.2858 Å, b = 3.2858 Å, c = 28.2675 Å, α = 90.00°, β = 90.00° and γ = 120.00°. The distinct sites, in fractional coordinates, are Tl at (0.0000, 0.0000, 0.0000), Tl at (0.0000, 0.0000, 0.2310), Mo at (0.0000, 0.0000, 0.4805) and P at (0.0000, 0.0000, 0.7622).

The value obtained for the density of states at the Fermi level is 9.518 states/eV per cell. As for the polymorph energy (0 for the lowest one): 0.068 eV/atom.